# 1
MnRuCS | PBE | relaxed

Results
E_form (uncorrected) ... -0.01 eV per atom
D(E_F) ... 1.89 states/eV/cell
Relative energy among the computed polymorphs ... 0.0099 eV/atom

a = 3.2143 Å, b = 3.2143 Å, c = 5.7586 Å
α = 90.00°, β = 90.00°, γ = 120.00°
Fractional coordinates of all 4 atoms:
C1 0.0000 0.0000 0.4193
Ru1 0.6667 0.3333 0.2979
S1 0.6667 0.3333 0.8817
Mn1 0.3333 0.6667 0.6389

# 2
MnRuCS | PBE | relaxed

Results
E_form (uncorrected) ... 0.02 eV per atom
D(E_F) ... 4.56 states/eV/cell
Relative energy among the computed polymorphs ... 0.0432 eV/atom

a = 6.1510 Å, b = 3.0140 Å, c = 6.0558 Å
α = 90.00°, β = 112.26°, γ = 90.00°
Fractional coordinates of all 8 atoms:
Mn1 0.3516 0.0000 0.7968
Mn2 0.3516 0.5000 0.2968
Ru1 0.7001 0.0000 0.2187
Ru2 0.7001 0.5000 0.7187
S1 0.1142 0.5000 0.8860
S2 0.1142 0.0000 0.3860
C1 0.5963 0.5000 0.9845
C2 0.5963 0.0000 0.4845